Record 1
A relaxed SmScSiPd crystal, computed with PBE.

Computed properties:
Uncorrected formation energy (kcal/mol of atoms): -15.4
Space-group type: F-43m
Total moment (μB per atom): 0.0001
ρ (g/cm3): 6.6

a b c (Å): 6.920 6.920 6.920
angles (deg): 90.00 90.00 90.00
Sites, in units of the cell vectors:
Sm 0.000 0.000 0.000
Sm 0.000 0.500 0.500
Sm 0.500 0.000 0.500
Sm 0.500 0.500 0.000
Sc 0.000 0.000 0.500
Sc 0.000 0.500 0.000
Sc 0.500 0.000 0.000
Sc 0.500 0.500 0.500
Si 0.250 0.250 0.750
Si 0.250 0.750 0.250
Si 0.750 0.250 0.250
Si 0.750 0.750 0.750
Pd 0.250 0.250 0.250
Pd 0.250 0.750 0.750
Pd 0.750 0.250 0.750
Pd 0.750 0.750 0.250



Record 2
A relaxed TbScSiPd crystal, computed with PBE.

Computed properties:
Uncorrected formation energy (kcal/mol of atoms): -16.5
Space-group type: F-43m
Total moment (μB per atom): 0.0000
ρ (g/cm3): 7.0

a b c (Å): 6.850 6.850 6.850
angles (deg): 90.00 90.00 90.00
Sites, in units of the cell vectors:
Tb 0.000 0.000 0.000
Tb 0.000 0.500 0.500
Tb 0.500 0.000 0.500
Tb 0.500 0.500 0.000
Sc 0.000 0.000 0.500
Sc 0.000 0.500 0.000
Sc 0.500 0.000 0.000
Sc 0.500 0.500 0.500
Si 0.250 0.250 0.750
Si 0.250 0.750 0.250
Si 0.750 0.250 0.250
Si 0.750 0.750 0.750
Pd 0.250 0.250 0.250
Pd 0.250 0.750 0.750
Pd 0.750 0.250 0.750
Pd 0.750 0.750 0.250



| no. | total energy (eV per atom) | V (Å³ per cell) |
| --- | --- | --- |
| 1 | -6.0862 | 331.4 |
| 2 | -6.1118 | 321.5 |